A plane-wave DFT calculation with GGA-PBE was carried out for an optimized crystal structure of LaZnBr2.

Geometry as POSCAR:
```
LaZnBr2
1.0
3.674 0.000 0.000
0.000 5.067 0.000
0.000 0.000 14.081
La Zn Br
2 2 4
direct
0.000 0.000 0.000 La
0.500 0.500 0.500 La
0.000 0.500 0.697 Zn
0.500 0.000 0.197 Zn
0.000 0.000 0.530 Br
0.000 0.500 0.329 Br
0.500 0.000 0.829 Br
0.500 0.500 0.030 Br
```

Output
**N(E_F)**: 2.17 states/eV/f.u.
**Energy relative to the elements, uncorrected**: -23.7 kcal/mol of atoms
**Distance to the lowest polymorph of the same formula**: 70 meV per atom
**Calculated density**: 4.61 Mg/m³

***

A plane-wave DFT calculation with GGA-PBE was carried out for an optimized crystal structure of CaAl3Cl.

Geometry as POSCAR:
```
CaAl3Cl
1.0
5.922 0.000 0.000
0.000 5.922 0.000
0.000 0.000 5.922
Ca Al Cl
1 3 1
direct
0.000 0.000 0.000 Ca
0.000 0.000 0.500 Al
0.000 0.500 0.000 Al
0.500 0.000 0.000 Al
0.500 0.500 0.500 Cl
```

Output
**N(E_F)**: 6.90 states/eV/f.u.
**Energy relative to the elements, uncorrected**: 22.6 kcal/mol of atoms
**Distance to the lowest polymorph of the same formula**: 723 meV per atom
**Calculated density**: 1.25 Mg/m³

***

> The lowest energy relative to the elements, uncorrected belongs to which entry?

LaZnBr2

***

Copy entry 2 word for word.
A plane-wave DFT calculation with GGA-PBE was carried out for an optimized crystal structure of CaAl3Cl.

Geometry as POSCAR:
```
CaAl3Cl
1.0
5.922 0.000 0.000
0.000 5.922 0.000
0.000 0.000 5.922
Ca Al Cl
1 3 1
direct
0.000 0.000 0.000 Ca
0.000 0.000 0.500 Al
0.000 0.500 0.000 Al
0.500 0.000 0.000 Al
0.500 0.500 0.500 Cl
```

Output
**N(E_F)**: 6.90 states/eV/f.u.
**Energy relative to the elements, uncorrected**: 22.6 kcal/mol of atoms
**Distance to the lowest polymorph of the same formula**: 723 meV per atom
**Calculated density**: 1.25 Mg/m³

***

> Which formula does entry 2 have?

CaAl3Cl